# 1
Compound: Si2PPt
Source: Alexandria via LeMat-Bulk
Functional: PBE
Structure: optimized geometry

Cell: 7.056 3.402 6.023 Å, 90.00 115.03 90.00°
Positions (direct):
Si 0.000 0.000 0.000
Si 0.179 0.000 0.745
Si 0.500 0.500 0.000
Si 0.679 0.500 0.745
P 0.112 0.500 0.287
P 0.612 0.000 0.287
Pt 0.411 0.000 0.516
Pt 0.911 0.500 0.516

D(E_F) ... 2.2 states/eV per cell
Formation energy without anion corrections ... -123.6 meV per atom
Total magnetic moment ... 0.00 μB per formula unit
Space group ... Cm (8)

# 2
Compound: Si2P2Pt
Source: Alexandria via LeMat-Bulk
Functional: PBE
Structure: optimized geometry

Cell: 4.616 4.616 7.341 Å, 90.00 90.00 90.00°
Positions (direct):
Si 0.250 0.250 0.071
Si 0.250 0.750 0.500
Si 0.750 0.250 0.500
Si 0.750 0.750 0.929
P 0.250 0.250 0.388
P 0.250 0.750 0.000
P 0.750 0.250 0.000
P 0.750 0.750 0.612
Pt 0.250 0.250 0.724
Pt 0.750 0.750 0.276

D(E_F) ... 5.0 states/eV per cell
Formation energy without anion corrections ... 183.9 meV per atom
Total magnetic moment ... 0.00 μB per formula unit
Space group ... P4/nmm (129)

# 3
Compound: Si2PPt
Source: Alexandria via LeMat-Bulk
Functional: PBE
Structure: optimized geometry

Cell: 4.152 17.519 4.108 Å, 90.00 90.00 90.00°
Positions (direct):
Si 0.000 0.043 0.250
Si 0.000 0.252 0.750
Si 0.000 0.748 0.250
Si 0.000 0.957 0.750
Si 0.500 0.248 0.250
Si 0.500 0.457 0.750
Si 0.500 0.543 0.250
Si 0.500 0.752 0.750
P 0.000 0.467 0.250
P 0.000 0.533 0.750
P 0.500 0.033 0.750
P 0.500 0.967 0.250
Pt 0.000 0.179 0.250
Pt 0.000 0.821 0.750
Pt 0.500 0.321 0.750
Pt 0.500 0.679 0.250

D(E_F) ... 4.9 states/eV per cell
Formation energy without anion corrections ... 16.5 meV per atom
Total magnetic moment ... 0.00 μB per formula unit
Space group ... Cmcm (63)

# 4
Compound: Si2PPt
Source: Alexandria via LeMat-Bulk
Functional: PBE
Structure: optimized geometry

Cell: 2.719 3.185 6.807 Å, 90.00 90.00 90.00°
Positions (direct):
Si 0.000 0.000 0.245
Si 0.000 0.000 0.755
P 0.500 0.500 0.500
Pt 0.500 0.500 0.000

D(E_F) ... 1.7 states/eV per cell
Formation energy without anion corrections ... 133.8 meV per atom
Total magnetic moment ... 0.00 μB per formula unit
Space group ... Pmmm (47)